A relaxed structure of Na2SbHPt, computed with PBE.

Lattice parameters (Å, degrees): 4.464 4.464 4.168 90.00 90.00 90.00
Fractional positions:
Na  0.000  0.500  0.000
Na  0.500  0.000  0.000
Sb  0.000  0.000  0.500
H  0.500  0.500  0.000
Pt  0.500  0.500  0.500

Computed properties:
raw total energy: -3.38 eV/atom